Below is a relaxed Dy3CoNi crystal, with properties calculated at the PBE level.

## Properties
The calculation puts the total magnetic moment at 0.000 μB per atom. The calculation puts the polymorph energy (0 for the lowest one) at 0 kJ/mol of formula units. Its energy of formation is -0.236 eV/atom. The value obtained for the theoretical density is 9.07 g cm⁻³.

Cell lengths 6.2069, 3.8389, 9.2939 Å; angles 90.00, 90.06, 90.00 degrees
Last column: nearest neighbours and their distance in Å.
Space group P2_1/m (No. 11)
Inequivalent atoms, fractional coordinates:
Dy (0.2427, 0.2500, 0.0594)  2 Co 2.85, 2 Ni 2.89
Dy (0.2429, 0.2500, 0.4407)  2 Co 2.86, 2 Ni 2.89
Dy (0.2476, 0.7500, 0.7500)  2 Co 2.69, 2 Ni 2.72
Co (0.0570, 0.7500, 0.2498)  1 Ni 2.38
Ni (0.4408, 0.7500, 0.2503)  1 Co 2.38